(1)
The following is a PBE calculation of an optimized crystal structure of K5BaH7, from Alexandria.

Cell: 6.850 6.850 22.131 Å, 90.00 90.00 146.72°
Sites, in units of the cell vectors:
K 0.000 0.000 0.000
K 0.000 0.000 0.500
K 0.275 0.725 0.577
K 0.275 0.725 0.923
K 0.456 0.544 0.154
K 0.457 0.543 0.346
K 0.543 0.457 0.846
K 0.544 0.456 0.654
K 0.725 0.275 0.077
K 0.725 0.275 0.423
Ba 0.198 0.802 0.250
Ba 0.802 0.198 0.750
H 0.098 0.902 0.123
H 0.098 0.902 0.377
H 0.196 0.804 0.814
H 0.197 0.803 0.685
H 0.367 0.633 0.038
H 0.368 0.632 0.462
H 0.433 0.567 0.750
H 0.567 0.433 0.250
H 0.632 0.368 0.962
H 0.633 0.367 0.538
H 0.803 0.197 0.185
H 0.804 0.196 0.314
H 0.902 0.098 0.623
H 0.902 0.098 0.877


(2)
The following is a PBE calculation of an optimized crystal structure of KBa2H2, from Alexandria.

Cell: 4.491 4.491 19.439 Å, 90.00 90.00 90.00°
Sites, in units of the cell vectors:
K 0.000 0.000 0.000
K 0.500 0.500 0.500
Ba 0.000 0.000 0.321
Ba 0.000 0.000 0.679
Ba 0.500 0.500 0.179
Ba 0.500 0.500 0.821
H 0.000 0.500 0.250
H 0.000 0.500 0.750
H 0.500 0.000 0.250
H 0.500 0.000 0.750

Results
The value obtained for the excess energy over the best structure of this formula in the dataset is 0 meV per atom.


(3)
The following is a PBE calculation of an optimized crystal structure of KBa2H, from Alexandria.

Cell: 4.287 4.287 35.090 Å, 90.00 90.00 120.00°
Sites, in units of the cell vectors:
K 0.000 0.000 0.000
K 0.333 0.667 0.667
K 0.667 0.333 0.333
Ba 0.000 0.000 0.121
Ba 0.000 0.000 0.879
Ba 0.333 0.667 0.545
Ba 0.333 0.667 0.788
Ba 0.667 0.333 0.212
Ba 0.667 0.333 0.455
H 0.000 0.000 0.500
H 0.333 0.667 0.167
H 0.667 0.333 0.833

Results
The value obtained for the excess energy over the best structure of this formula in the dataset is 31 meV per atom.


(4)
The following is a PBE calculation of an optimized crystal structure of K5Ba3H12, from Alexandria.

Cell: 13.349 13.349 13.349 Å, 109.47 109.47 109.47°
Sites, in units of the cell vectors:
K 0.000 0.000 0.000
K 0.000 0.000 0.500
K 0.000 0.500 0.000
K 0.000 0.500 0.500
K 0.125 0.750 0.875
K 0.125 0.875 0.250
K 0.250 0.125 0.875
K 0.250 0.625 0.375
K 0.375 0.250 0.625
K 0.375 0.625 0.750
K 0.500 0.000 0.000
K 0.500 0.000 0.500
K 0.500 0.500 0.000
K 0.500 0.500 0.500
K 0.625 0.375 0.250
K 0.625 0.750 0.375
K 0.750 0.375 0.625
K 0.750 0.875 0.125
K 0.875 0.125 0.750
K 0.875 0.250 0.125
Ba 0.125 0.250 0.375
Ba 0.125 0.375 0.750
Ba 0.250 0.375 0.125
Ba 0.250 0.875 0.625
Ba 0.375 0.125 0.250
Ba 0.375 0.750 0.125
Ba 0.625 0.250 0.875
Ba 0.625 0.875 0.750
Ba 0.750 0.125 0.375
Ba 0.750 0.625 0.875
Ba 0.875 0.625 0.250
Ba 0.875 0.750 0.625
H 0.062 0.234 0.144
H 0.062 0.328 0.918
H 0.082 0.644 0.410
H 0.082 0.938 0.672
H 0.090 0.734 0.672
H 0.090 0.856 0.418
H 0.144 0.062 0.234
H 0.144 0.582 0.910
H 0.172 0.234 0.590
H 0.172 0.438 0.582
H 0.234 0.144 0.062
H 0.234 0.590 0.172
H 0.266 0.328 0.910
H 0.266 0.438 0.356
H 0.328 0.910 0.266
H 0.328 0.918 0.062
H 0.356 0.266 0.438
H 0.356 0.590 0.918
H 0.410 0.082 0.644
H 0.410 0.828 0.766
H 0.418 0.090 0.856
H 0.418 0.828 0.562
H 0.438 0.356 0.266
H 0.438 0.582 0.172
H 0.562 0.418 0.828
H 0.562 0.644 0.734
H 0.582 0.172 0.438
H 0.582 0.910 0.144
H 0.590 0.172 0.234
H 0.590 0.918 0.356
H 0.644 0.410 0.082
H 0.644 0.734 0.562
H 0.672 0.082 0.938
H 0.672 0.090 0.734
H 0.734 0.562 0.644
H 0.734 0.672 0.090
H 0.766 0.410 0.828
H 0.766 0.856 0.938
H 0.828 0.562 0.418
H 0.828 0.766 0.410
H 0.856 0.418 0.090
H 0.856 0.938 0.766
H 0.910 0.144 0.582
H 0.910 0.266 0.328
H 0.918 0.062 0.328
H 0.918 0.356 0.590
H 0.938 0.672 0.082
H 0.938 0.766 0.856


(5)
The following is a PBE calculation of an optimized crystal structure of KBa2H2, from Alexandria.

Cell: 9.024 9.024 4.928 Å, 90.00 90.00 90.00°
Sites, in units of the cell vectors:
K 0.000 0.000 0.000
K 0.500 0.500 0.000
Ba 0.180 0.320 0.500
Ba 0.320 0.820 0.500
Ba 0.680 0.180 0.500
Ba 0.820 0.680 0.500
H 0.245 0.255 0.000
H 0.255 0.755 0.000
H 0.745 0.245 0.000
H 0.755 0.745 0.000

Results
The value obtained for the excess energy over the best structure of this formula in the dataset is 307 meV per atom.


(6)
The following is a PBE calculation of an optimized crystal structure of KBaH3, from Alexandria.

Cell: 5.115 5.115 5.115 Å, 90.00 90.00 90.00°
Sites, in units of the cell vectors:
K 0.000 0.000 0.000
Ba 0.500 0.500 0.500
H 0.000 0.500 0.500
H 0.500 0.000 0.500
H 0.500 0.500 0.000

Results
The value obtained for the excess energy over the best structure of this formula in the dataset is 130 meV per atom.


(7)
The following is a PBE calculation of an optimized crystal structure of KBa2H, from Alexandria.

Cell: 4.334 4.334 33.566 Å, 90.00 90.00 120.00°
Sites, in units of the cell vectors:
K 0.000 0.000 0.000
K 0.333 0.667 0.667
K 0.667 0.333 0.333
Ba 0.000 0.000 0.548
Ba 0.000 0.000 0.786
Ba 0.333 0.667 0.215
Ba 0.333 0.667 0.453
Ba 0.667 0.333 0.119
Ba 0.667 0.333 0.881
H 0.000 0.000 0.167
H 0.333 0.667 0.833
H 0.667 0.333 0.500

Results
The value obtained for the excess energy over the best structure of this formula in the dataset is 0 meV per atom.


(8)
The following is a PBE calculation of an optimized crystal structure of K2Ba2H, from Alexandria.

Cell: 7.983 7.983 8.106 Å, 90.00 90.00 90.00°
Sites, in units of the cell vectors:
K 0.174 0.326 0.000
K 0.326 0.826 0.000
K 0.674 0.174 0.000
K 0.826 0.674 0.000
Ba 0.194 0.694 0.500
Ba 0.306 0.194 0.500
Ba 0.694 0.806 0.500
Ba 0.806 0.306 0.500
H 0.000 0.000 0.500
H 0.500 0.500 0.500


(9)
The following is a PBE calculation of an optimized crystal structure of KBa3H, from Alexandria.

Cell: 6.221 6.221 6.221 Å, 90.00 90.00 90.00°
Sites, in units of the cell vectors:
K 0.000 0.000 0.000
Ba 0.000 0.500 0.500
Ba 0.500 0.000 0.500
Ba 0.500 0.500 0.000
H 0.500 0.500 0.500


(10)
The following is a PBE calculation of an optimized crystal structure of K12Ba3H5, from Alexandria.

Cell: 17.340 17.340 17.340 Å, 109.47 109.47 109.47°
Sites, in units of the cell vectors:
K 0.025 0.700 0.111
K 0.025 0.825 0.914
K 0.086 0.611 0.911
K 0.086 0.975 0.175
K 0.089 0.675 0.700
K 0.089 0.914 0.389
K 0.111 0.025 0.700
K 0.111 0.586 0.411
K 0.175 0.086 0.975
K 0.175 0.589 0.200
K 0.200 0.175 0.589
K 0.200 0.525 0.611
K 0.300 0.889 0.975
K 0.300 0.911 0.325
K 0.325 0.300 0.911
K 0.325 0.525 0.414
K 0.389 0.089 0.914
K 0.389 0.800 0.475
K 0.411 0.111 0.586
K 0.411 0.800 0.825
K 0.414 0.325 0.525
K 0.414 0.589 0.889
K 0.475 0.389 0.800
K 0.475 0.586 0.675
K 0.525 0.414 0.325
K 0.525 0.611 0.200
K 0.586 0.411 0.111
K 0.586 0.675 0.475
K 0.589 0.200 0.175
K 0.589 0.889 0.414
K 0.611 0.200 0.525
K 0.611 0.911 0.086
K 0.675 0.475 0.586
K 0.675 0.700 0.089
K 0.700 0.089 0.675
K 0.700 0.111 0.025
K 0.800 0.475 0.389
K 0.800 0.825 0.411
K 0.825 0.411 0.800
K 0.825 0.914 0.025
K 0.889 0.414 0.589
K 0.889 0.975 0.300
K 0.911 0.086 0.611
K 0.911 0.325 0.300
K 0.914 0.025 0.825
K 0.914 0.389 0.089
K 0.975 0.175 0.086
K 0.975 0.300 0.889
Ba 0.125 0.250 0.375
Ba 0.125 0.375 0.750
Ba 0.250 0.375 0.125
Ba 0.250 0.875 0.625
Ba 0.375 0.125 0.250
Ba 0.375 0.750 0.125
Ba 0.625 0.250 0.875
Ba 0.625 0.875 0.750
Ba 0.750 0.125 0.375
Ba 0.750 0.625 0.875
Ba 0.875 0.625 0.250
Ba 0.875 0.750 0.625
H 0.000 0.000 0.000
H 0.000 0.000 0.500
H 0.000 0.500 0.000
H 0.000 0.500 0.500
H 0.125 0.750 0.875
H 0.125 0.875 0.250
H 0.250 0.125 0.875
H 0.250 0.625 0.375
H 0.375 0.250 0.625
H 0.375 0.625 0.750
H 0.500 0.000 0.000
H 0.500 0.000 0.500
H 0.500 0.500 0.000
H 0.500 0.500 0.500
H 0.625 0.375 0.250
H 0.625 0.750 0.375
H 0.750 0.375 0.625
H 0.750 0.875 0.125
H 0.875 0.125 0.750
H 0.875 0.250 0.125


(11)
The following is a PBE calculation of an optimized crystal structure of KBa2H, from Alexandria.

Cell: 9.283 9.283 9.283 Å, 90.00 90.00 90.00°
Sites, in units of the cell vectors:
K 0.000 0.000 0.000
K 0.000 0.500 0.500
K 0.500 0.000 0.500
K 0.500 0.500 0.000
Ba 0.250 0.250 0.250
Ba 0.250 0.250 0.750
Ba 0.250 0.750 0.250
Ba 0.250 0.750 0.750
Ba 0.750 0.250 0.250
Ba 0.750 0.250 0.750
Ba 0.750 0.750 0.250
Ba 0.750 0.750 0.750
H 0.000 0.000 0.500
H 0.000 0.500 0.000
H 0.500 0.000 0.000
H 0.500 0.500 0.500

Results
The value obtained for the excess energy over the best structure of this formula in the dataset is 590 meV per atom.


(12)
The following is a PBE calculation of an optimized crystal structure of K3Ba12H5, from Alexandria.

Cell: 16.914 16.914 16.914 Å, 109.47 109.47 109.47°
Sites, in units of the cell vectors:
K 0.125 0.250 0.375
K 0.125 0.375 0.750
K 0.250 0.375 0.125
K 0.250 0.875 0.625
K 0.375 0.125 0.250
K 0.375 0.750 0.125
K 0.625 0.250 0.875
K 0.625 0.875 0.750
K 0.750 0.125 0.375
K 0.750 0.625 0.875
K 0.875 0.625 0.250
K 0.875 0.750 0.625
Ba 0.005 0.696 0.105
Ba 0.005 0.808 0.900
Ba 0.092 0.692 0.696
Ba 0.092 0.900 0.395
Ba 0.100 0.605 0.908
Ba 0.100 0.995 0.192
Ba 0.105 0.005 0.696
Ba 0.105 0.600 0.408
Ba 0.192 0.100 0.995
Ba 0.192 0.592 0.196
Ba 0.196 0.192 0.592
Ba 0.196 0.505 0.605
Ba 0.304 0.895 0.995
Ba 0.304 0.908 0.308
Ba 0.308 0.304 0.908
Ba 0.308 0.505 0.400
Ba 0.395 0.092 0.900
Ba 0.395 0.804 0.495
Ba 0.400 0.308 0.505
Ba 0.400 0.592 0.895
Ba 0.408 0.105 0.600
Ba 0.408 0.804 0.808
Ba 0.495 0.395 0.804
Ba 0.495 0.600 0.692
Ba 0.505 0.400 0.308
Ba 0.505 0.605 0.196
Ba 0.592 0.196 0.192
Ba 0.592 0.895 0.400
Ba 0.600 0.408 0.105
Ba 0.600 0.692 0.495
Ba 0.605 0.196 0.505
Ba 0.605 0.908 0.100
Ba 0.692 0.495 0.600
Ba 0.692 0.696 0.092
Ba 0.696 0.092 0.692
Ba 0.696 0.105 0.005
Ba 0.804 0.495 0.395
Ba 0.804 0.808 0.408
Ba 0.808 0.408 0.804
Ba 0.808 0.900 0.005
Ba 0.895 0.400 0.592
Ba 0.895 0.995 0.304
Ba 0.900 0.005 0.808
Ba 0.900 0.395 0.092
Ba 0.908 0.100 0.605
Ba 0.908 0.308 0.304
Ba 0.995 0.192 0.100
Ba 0.995 0.304 0.895
H 0.000 0.000 0.000
H 0.000 0.000 0.500
H 0.000 0.500 0.000
H 0.000 0.500 0.500
H 0.125 0.750 0.875
H 0.125 0.875 0.250
H 0.250 0.125 0.875
H 0.250 0.625 0.375
H 0.375 0.250 0.625
H 0.375 0.625 0.750
H 0.500 0.000 0.000
H 0.500 0.000 0.500
H 0.500 0.500 0.000
H 0.500 0.500 0.500
H 0.625 0.375 0.250
H 0.625 0.750 0.375
H 0.750 0.375 0.625
H 0.750 0.875 0.125
H 0.875 0.125 0.750
H 0.875 0.250 0.125


no.,N(E_F) (states/eV per cell),E_tot (eV per atom)
1,0.000,-2.627
2,5.290,-2.613
3,10.148,-2.124
4,34.136,-2.731
5,7.944,-2.306
6,0.000,-2.829
7,11.652,-2.155
8,9.497,-1.831
9,6.374,-2.070
10,79.666,-1.600
11,22.912,-1.565
12,103.221,-2.194